No. 1
# TmZnAs PBE relaxed
data_TmZnAs
_chemical_formula_sum 'Tm6 Zn6 As6'
_cell_length_a 4.6279
_cell_length_b 4.6279
_cell_length_c 23.0692
_cell_angle_alpha 90.00
_cell_angle_beta 90.00
_cell_angle_gamma 120.00
_symmetry_space_group_name_H-M 'R -3 m'
_symmetry_Int_Tables_number 166
_symmetry_space_group_name_Hall '-R 3 2"'
loop_
_atom_site_label
_atom_site_fract_x
_atom_site_fract_y
_atom_site_fract_z
Tm1 0.0000 0.0000 0.0886
Zn1 0.0000 0.0000 0.3275
As1 0.0000 0.0000 0.2167
# magnetic moment = 0.00 μB per formula unit
# E_tot = -72.615 eV per cell

=====

No. 2
# MnCrSCl2 PBE relaxed
data_MnCrSCl2
_chemical_formula_sum 'Mn1 Cr1 S1 Cl2'
_cell_length_a 4.796
_cell_length_b 4.796
_cell_length_c 4.280
_cell_angle_alpha 90.00
_cell_angle_beta 90.00
_cell_angle_gamma 90.00
_symmetry_space_group_name_H-M 'P 4/m m m'
_symmetry_Int_Tables_number 123
_symmetry_space_group_name_Hall '-P 4 2'
loop_
_atom_site_label
_atom_site_fract_x
_atom_site_fract_y
_atom_site_fract_z
Mn1 0.000 0.000 0.000
Cr1 0.500 0.500 0.500
S1 0.000 0.000 0.500
Cl1 0.000 0.500 0.000
# energy relative to the elements, uncorrected = 0.13 eV per atom
# magnetic moment = 5.05 μB per formula unit